[1]
Material: AlSbTe2Rh
Method: DFT, PBEsol
State: relaxed

Lattice parameters (Å, degrees): 5.0342 5.1064 5.1064 90.00 90.00 90.00
Atoms (fractional coordinates):
Al  0.0000  0.0000  0.0000
Te  0.0000  0.5000  0.0000
Rh  0.5000  0.5000  0.5000
Sb  0.5000  0.0000  0.0000
Te  0.0000  0.0000  0.5000

## Properties
Formation energy without anion corrections   90 kJ/mol of atoms
Density   6412 kg/m3
Calculated total energy   -19.17 eV/cell


[2]
Material: Sc6Al16Rh7
Method: DFT, PBEsol
State: relaxed

Lattice parameters (Å, degrees): 8.6609 8.6609 8.6609 60.00 60.00 60.00
Atoms (fractional coordinates):
Al  0.3344  0.3344  0.3344
Sc  0.2957  0.7043  0.7043
Al  0.1196  0.1196  0.6411
Al  0.6411  0.1196  0.1196
Al  0.3344  0.9967  0.3344
Rh  0.0000  0.0000  0.0000
Sc  0.7043  0.2957  0.2957
Al  0.0033  0.6656  0.6656
Al  0.1196  0.1196  0.1196
Al  0.3589  0.8804  0.8804
Rh  0.0000  0.0000  0.5000
Sc  0.7043  0.2957  0.7043
Al  0.3344  0.3344  0.9967
Sc  0.7043  0.7043  0.2957
Rh  0.5000  0.0000  0.5000
Al  0.1196  0.6411  0.1196
Al  0.8804  0.3589  0.8804
Al  0.6656  0.0033  0.6656
Sc  0.2957  0.7043  0.2957
Al  0.9967  0.3344  0.3344
Rh  0.0000  0.5000  0.5000
Al  0.8804  0.8804  0.3589
Rh  0.5000  0.5000  0.0000
Al  0.8804  0.8804  0.8804
Sc  0.2957  0.2957  0.7043
Al  0.6656  0.6656  0.0033
Rh  0.5000  0.0000  0.0000
Rh  0.0000  0.5000  0.0000
Al  0.6656  0.6656  0.6656

## Properties
Formation energy   -830 meV/atom
Density   5139 kg/m3
Calculated total energy   -186.14 eV/cell


[3]
Material: ScAl2Rh2
Method: DFT, PBEsol
State: relaxed

Lattice parameters (Å, degrees): 2.8866 7.2435 7.2435 90.00 90.00 90.00
Atoms (fractional coordinates):
Rh  0.0000  0.1511  0.3489
Rh  0.0000  0.3489  0.8489
Sc  0.0000  0.0000  0.0000
Al  0.5000  0.1436  0.6436
Al  0.5000  0.8564  0.3564
Rh  0.0000  0.8489  0.6511
Sc  0.0000  0.5000  0.5000
Al  0.5000  0.3564  0.1436
Al  0.5000  0.6436  0.8564
Rh  0.0000  0.6511  0.1511

## Properties
Formation energy   -880 meV/atom
Density   6682 kg/m3
Calculated total energy   -70.93 eV/cell


[4]
Material: AlRh2Se
Method: DFT, PBEsol
State: relaxed

Lattice parameters (Å, degrees): 2.9555 4.3098 4.9413 101.64 90.00 110.05
Atoms (fractional coordinates):
Al  0.0000  0.0000  0.5000
Rh  0.2548  0.5095  0.2537
Se  0.5000  0.0000  0.0000
Rh  0.7452  0.4905  0.7463

## Properties
Formation energy without anion corrections   -36 kJ/mol of atoms
Offset from the most stable computed form   0 meV/atom
Density   8965 kg/m3
Calculated total energy   -25.73 eV/cell


[5]
Material: AlRhSe2
Method: DFT, PBEsol
State: relaxed

Lattice parameters (Å, degrees): 3.1179 4.5386 4.5386 90.00 90.00 90.00
Atoms (fractional coordinates):
Se  0.0000  0.0000  0.5000
Al  0.5000  0.5000  0.5000
Rh  0.5000  0.0000  0.0000
Se  0.0000  0.5000  0.0000

## Properties
Formation energy without anion corrections   -5 kJ/mol of atoms
Density   7441 kg/m3
Calculated total energy   -20.13 eV/cell


[6]
Material: AlRhSe2
Method: DFT, PBEsol
State: relaxed

Lattice parameters (Å, degrees): 4.5218 4.5218 4.5218 60.00 60.00 60.00
Atoms (fractional coordinates):
Se  0.0000  0.0000  0.0000
Se  0.7500  0.7500  0.7500
Rh  0.2500  0.2500  0.2500
Al  0.5000  0.5000  0.5000

## Properties
Formation energy without anion corrections   15 kJ/mol of atoms
Density   7310 kg/m3
Calculated total energy   -19.30 eV/cell


[7]
Material: AlRhSe2
Method: DFT, PBEsol
State: relaxed

Lattice parameters (Å, degrees): 3.5286 3.5859 5.6995 90.00 90.00 90.00
Atoms (fractional coordinates):
Se  0.5000  0.0000  0.5000
Al  0.5000  0.5000  0.0000
Se  0.0000  0.0000  0.0000
Rh  0.0000  0.5000  0.5000

## Properties
Formation energy without anion corrections   8 kJ/mol of atoms
Density   6627 kg/m3
Calculated total energy   -19.59 eV/cell


[8]
Material: AlRhSe2
Method: DFT, PBEsol
State: relaxed

Lattice parameters (Å, degrees): 3.7393 3.7393 6.2035 72.46 72.46 60.00
Atoms (fractional coordinates):
Rh  0.0000  0.0000  0.0000
Se  0.2560  0.2560  0.2321
Se  0.7440  0.7440  0.7679
Al  0.5000  0.5000  0.5000

## Properties
Formation energy without anion corrections   -32 kJ/mol of atoms
Density   6786 kg/m3
Calculated total energy   -21.27 eV/cell


[9]
Material: AlRh2Se
Method: DFT, PBEsol
State: relaxed

Lattice parameters (Å, degrees): 4.3275 4.3275 4.3275 60.00 60.00 60.00
Atoms (fractional coordinates):
Rh  0.7500  0.7500  0.7500
Se  0.5000  0.5000  0.5000
Al  0.0000  0.0000  0.0000
Rh  0.2500  0.2500  0.2500

## Properties
Formation energy without anion corrections   -25 kJ/mol of atoms
Offset from the most stable computed form   114 meV/atom
Density   9034 kg/m3
Calculated total energy   -25.27 eV/cell


[10]
Material: Al2SiRh
Method: DFT, PBEsol
State: relaxed

Lattice parameters (Å, degrees): 2.8685 4.5376 4.5376 110.81 90.00 90.00
Atoms (fractional coordinates):
Rh  0.5000  0.0000  0.0000
Al  0.0000  0.0000  0.5000
Si  0.5000  0.5000  0.5000
Al  0.0000  0.5000  0.0000

## Properties
Formation energy without anion corrections   -43 kJ/mol of atoms
Density   5563 kg/m3
Calculated total energy   -23.85 eV/cell


[11]
Material: AlSi2Rh
Method: DFT, PBEsol
State: relaxed

Lattice parameters (Å, degrees): 3.9413 3.9413 4.5323 115.77 115.77 90.00
Atoms (fractional coordinates):
Si  0.2500  0.7500  0.5000
Si  0.7500  0.2500  0.5000
Rh  0.0000  0.0000  0.0000
Al  0.5000  0.5000  0.0000

## Properties
Formation energy without anion corrections   -15 kJ/mol of atoms
Density   5565 kg/m3
Calculated total energy   -24.36 eV/cell


[12]
Material: AlSi2Rh
Method: DFT, PBEsol
State: relaxed

Lattice parameters (Å, degrees): 2.9581 2.9581 7.7354 78.98 78.98 60.00
Atoms (fractional coordinates):
Rh  0.5000  0.5000  0.5000
Al  0.0000  0.0000  0.0000
Si  0.2450  0.2450  0.2651
Si  0.7550  0.7550  0.7349

## Properties
Formation energy without anion corrections   -27 kJ/mol of atoms
Density   5404 kg/m3
Calculated total energy   -24.86 eV/cell